4
Lattice="3.8828 0.0000 0.0000 0.0000 2.7039 -0.0076 0.0000 1.3627 4.7872" Properties=species:S:1:pos:R:3 comment="FeSiRu2, relaxed, DFT GGA-PBE" total_energy_ev_per_atom=-8.2747 crystal_system=orthorhombic e_form_raw_ev_per_atom=-0.17 spacegroup="Amm2, No. 38" pbc="T T T"
Fe 1.9414 2.5432 3.6282
Ru 0.0000 3.8957 4.6265
Ru 1.9414 1.1856 1.3521
Si 0.0000 2.5420 2.3422